(1)
A geometry-optimized CeMg3Ag structure, computed with GGA-PBE.

Properties
ΔH_f (0 K)   -0.11 eV per atom

a b c (Å): 3.4633 9.6484 13.5580
angles (deg): 90.00 90.00 90.00
Closest atoms and distances in Å follow each position.
Element x y z (fractional)
Ag (0.7500, 0.3534, 0.1240)  7 Mg 2.82-3.09
Mg (0.2500, 0.0813, 0.4212)  3 Ag 2.82-2.87, 1 Mg 3.08
Ce (0.7500, 0.8843, 0.9924)  2 Ce 2.83
Ag (0.2500, 0.6466, 0.8760)  7 Mg 2.82-3.09
Ce (0.7500, 0.3843, 0.5076)  2 Ce 2.83
Ag (0.7500, 0.8534, 0.3760)  7 Mg 2.82-3.09
Mg (0.7500, 0.4187, 0.9212)  3 Ag 2.82-2.87, 1 Mg 3.08
Mg (0.2500, 0.9053, 0.7735)  2 Ag 2.86-3.09, 6 Mg 2.99-3.16
Mg (0.7500, 0.0947, 0.2265)  2 Ag 2.86-3.09, 6 Mg 2.99-3.16
Ce (0.2500, 0.6157, 0.4924)  2 Ce 2.83
Mg (0.2500, 0.5813, 0.0788)  3 Ag 2.82-2.87, 1 Mg 3.08
Ce (0.2500, 0.1157, 0.0076)  2 Ce 2.83
Mg (0.2500, 0.8433, 0.2088)  2 Ag 2.85, 5 Mg 2.99-3.09
Mg (0.7500, 0.6567, 0.7088)  2 Ag 2.85, 5 Mg 2.99-3.09
Mg (0.2500, 0.4053, 0.7265)  2 Ag 2.86-3.09, 6 Mg 2.99-3.16
Mg (0.7500, 0.1567, 0.7912)  2 Ag 2.85, 5 Mg 2.99-3.09
Mg (0.2500, 0.3433, 0.2912)  2 Ag 2.85, 5 Mg 2.99-3.09
Ag (0.2500, 0.1466, 0.6240)  7 Mg 2.82-3.09
Mg (0.7500, 0.9187, 0.5788)  3 Ag 2.82-2.87, 1 Mg 3.08
Mg (0.7500, 0.5947, 0.2735)  2 Ag 2.86-3.09, 6 Mg 2.99-3.16

***

(2)
A geometry-optimized YBe2Ni2 structure, computed with GGA-PBE.

Properties
ΔH_f (0 K)   -0.34 eV per atom

a b c (Å): 3.7470 3.7470 5.4258
angles (deg): 110.20 110.20 90.00
Closest atoms and distances in Å follow each position.
Element x y z (fractional)
Be (0.3697, 0.3697, 0.7394)  4 Ni 2.19
Ni (0.7500, 0.2500, 0.5000)  4 Be 2.19
Y (0.0000, 0.0000, 0.0000)  8 Be 2.92, 8 Ni 3.02
Be (0.6303, 0.6303, 0.2606)  4 Ni 2.19
Ni (0.2500, 0.7500, 0.5000)  4 Be 2.19

***

(3)
A geometry-optimized ZrTa3Te structure, computed with GGA-PBE.

Properties
Energy relative to the elements, uncorrected   139 kJ per mole of atoms

a b c (Å): 4.9776 4.9776 4.9776
angles (deg): 90.00 90.00 90.00
Closest atoms and distances in Å follow each position.
Element x y z (fractional)
Zr (0.5000, 0.5000, 0.5000)  12 Ta 3.52
Ta (0.0000, 0.5000, 0.0000)  2 Te 2.49
Te (0.0000, 0.0000, 0.0000)  6 Ta 2.49
Ta (0.5000, 0.0000, 0.0000)  2 Te 2.49
Ta (0.0000, 0.0000, 0.5000)  2 Te 2.49

***

| no. | energy above the most stable polymorph in this dataset (meV/atom) | uncorrected energy (eV per atom) | magnetic moment (μB/cell) |
| --- | --- | --- | --- |
| 1 | 0.0 | -2.8198 | 2.52 |
| 2 | 0.0 | -5.4374 | 0.00 |
| 3 | 0.0 | -8.0076 | 0.00 |